Entry 1:
Crystalline DyMnCo10 at its relaxed geometry, computed with PBE.

The calculation puts the formation energy at 5.9 kJ/mol of atoms. Its total magnetic moment is 19.96 μB/cell.

The space group is Pmmm (No. 47) and the conventional cell measures 4.013, 4.752 and 8.334 Å, with angles of 90.00, 90.00 and 90.00 degrees. The distinct sites, in fractional coordinates, are Dy at (0.000, 0.000, 0.000), Mn at (0.000, 0.500, 0.500), Co at (0.000, 0.000, 0.347), Co at (0.000, 0.500, 0.199), Co at (0.500, 0.000, 0.500), Co at (0.500, 0.252, 0.254) and Co at (0.500, 0.500, 0.000).

Entry 2:
Crystalline KPRu2 at its relaxed geometry, computed with PBE.

The calculation puts the formation energy at 49.3 kJ/mol of atoms. Its total magnetic moment is 1.85 μB/cell.

The space group is I4_1/amd (No. 141, origin choice 2) and the conventional cell measures 4.904, 4.904 and 15.976 Å, with angles of 90.00, 90.00 and 90.00 degrees. The distinct sites, in fractional coordinates, are K at (0.000, 0.250, 0.375), P at (0.000, 0.250, 0.875) and Ru at (0.000, 0.000, 0.000).

Entry 3:
Crystalline Zr2ZnP at its relaxed geometry, computed with PBE.

The calculation puts the formation energy at -28.1 kJ/mol of atoms. Its total magnetic moment is 0.00 μB/cell.

The space group is Cmm2 (No. 35) and the conventional cell measures 3.973, 5.132 and 7.492 Å, with angles of 90.00, 90.00 and 90.00 degrees. The distinct sites, in fractional coordinates, are Zr at (0.000, 0.000, 0.000), Zr at (0.000, 0.500, 0.324), Zn at (0.000, 0.500, 0.739) and P at (0.000, 0.000, 0.542).

Entry 4:
Crystalline LiFeSe2Br at its relaxed geometry, computed with PBE.

The raw formation energy is -0.14 eV per atom. Its relative energy among the computed polymorphs is 0 meV per atom. Its total magnetic moment is 0.00 μB/cell.

The space group is P4/mmm (No. 123) and the conventional cell measures 4.533, 4.533 and 5.735 Å, with angles of 90.00, 90.00 and 90.00 degrees. The distinct sites, in fractional coordinates, are Li at (0.000, 0.000, 0.000), Fe at (0.500, 0.500, 0.500), Se at (0.000, 0.500, 0.500) and Br at (0.500, 0.500, 0.000).

Entry 5:
Crystalline LiBMo2H at its relaxed geometry, computed with PBE.

The calculation puts the total energy at -27.72 eV/cell. Its total magnetic moment is 0.00 μB/cell.

The space group is P4/mmm (No. 123) and the conventional cell measures 4.427, 4.427 and 2.639 Å, with angles of 90.00, 90.00 and 90.00 degrees. The distinct sites, in fractional coordinates, are Li at (0.000, 0.000, 0.000), B at (0.500, 0.500, 0.500), Mo at (0.000, 0.500, 0.000) and H at (0.000, 0.000, 0.500).

Entry 6:
Crystalline SrMn2BeSi at its relaxed geometry, computed with PBE.

The raw formation energy is 0.86 eV per atom. Its total magnetic moment is 7.58 μB/cell.

The space group is P4/mmm (No. 123) and the conventional cell measures 4.661, 4.661 and 5.841 Å, with angles of 90.00, 90.00 and 90.00 degrees. The distinct sites, in fractional coordinates, are Sr at (0.000, 0.000, 0.000), Mn at (0.000, 0.500, 0.500), Be at (0.500, 0.500, 0.000) and Si at (0.000, 0.000, 0.500).

Entry 7:
Crystalline BaNa2In2Pb2 at its relaxed geometry, computed with PBE.

The calculation puts the formation energy at -28.2 kJ/mol of atoms. Its total magnetic moment is 0.00 μB/cell.

The space group is R-3m (No. 166, hexagonal axes) and the conventional cell measures 5.1578, 5.1578 and 28.3036 Å, with angles of 90.00, 90.00 and 120.00 degrees. The distinct sites, in fractional coordinates, are Ba at (0.0000, 0.0000, 0.0000), Na at (0.0000, 0.0000, 0.1444), In at (0.0000, 0.0000, 0.4440) and Pb at (0.0000, 0.0000, 0.2614).

Entry 8:
Crystalline SmPu2Hg at its relaxed geometry, computed with PBE.

The calculation puts the formation energy at -2.7 kJ/mol of atoms. Its relative energy among the computed polymorphs is 0 meV per atom. Its total magnetic moment is 12.52 μB/cell.

The space group is P4/mmm (No. 123) and the conventional cell measures 4.502, 4.502 and 5.301 Å, with angles of 90.00, 90.00 and 90.00 degrees. The distinct sites, in fractional coordinates, are Sm at (0.000, 0.000, 0.000), Pu at (0.000, 0.500, 0.500) and Hg at (0.500, 0.500, 0.000).

Q: Among the records above, which one has the highest total magnetic moment?
A: DyMnCo10